VASP calculation (PBE with a Hubbard U) on an optimized crystal structure of MnPbC2O6.

Structure (extended XYZ):
```
10
Lattice="-0.561 -1.966 -4.644 -1.766 -4.724 -0.559 -6.138 -0.200 -1.946" Properties=species:S:1:pos:R:3 pbc="T T T"
Mn -4.233 -3.444 -3.574
Pb 0.000 0.000 0.000
C -6.214 -5.218 -5.356
C -2.251 -1.671 -1.793
O -5.421 -2.706 -1.869
O -4.928 -1.700 -4.733
O -2.445 -2.352 -2.883
O -3.044 -4.183 -5.280
O -3.537 -5.188 -2.415
O -6.020 -4.537 -4.266
```

total DFT energy (no corrections): -74.3 eV for the cell shown
total moment: 5.00 μB/f.u.
space group: R-3, No. 148